The following is a DFT calculation (PBE) of a relaxed YAlMo crystal.

abc: 6.4922 6.4922 6.4922
angles: 90.00 90.00 90.00
Closest atoms and distances in Å follow each position.
Space group F-43m (No. 216)
Symmetry-distinct sites (fractional):
Y (0.0000, 0.0000, 0.0000) [4 per cell]  4 Al 2.81
Al (0.2500, 0.2500, 0.7500) [4 per cell]  4 Mo 2.81, 4 Y 2.81
Mo (0.0000, 0.0000, 0.5000) [4 per cell]  4 Al 2.81

Computed properties:
Magnetization, μB per formula unit: 1.21
Volume, Å³ per cell: 273.63
Total energy, eV per atom: -6.5265
Crystal system: cubic